[1]
Entry from Alexandria via LeMat-Bulk: crystalline LaHgMo2 at its relaxed geometry (PBE).

Cell: 10.7414 10.7414 10.7414 Å, 15.99 15.99 15.99°
With the nearest neighbours (Å) after each atom.
Fractional positions:
Hg: 0.2500 0.2500 0.2500  6 Mo 2.97, 6 Hg 2.99
La: 0.7500 0.7500 0.7500  6 La 2.99
Mo: 0.9926 0.9926 0.9926  3 Hg 2.97, 6 Mo 2.99
Mo: 0.5074 0.5074 0.5074  3 Hg 2.97, 6 Mo 2.99

Computed properties:
electronic total energy	-23.36	eV per cell

[2]
Entry from Alexandria via LeMat-Bulk: crystalline Gd2YAg at its relaxed geometry (PBE).

Cell: 3.5868 3.5868 10.7601 Å, 80.41 80.41 60.00°
With the nearest neighbours (Å) after each atom.
Fractional positions:
Ag: 0.0000 0.0000 0.0000  6 Gd 3.15
Gd: 0.7415 0.7415 0.7755  3 Ag 3.15
Y: 0.5000 0.5000 0.5000  6 Gd 3.57, 6 Y 3.59
Gd: 0.2585 0.2585 0.2245  3 Ag 3.15

Computed properties:
offset from the most stable computed form	0.108	eV/atom
electronic total energy	-37.52	eV per cell

[3]
Entry from Alexandria via LeMat-Bulk: crystalline La4NdEr15 at its relaxed geometry (PBE).

Cell: 5.0626 5.0626 25.0602 Å, 90.00 90.00 90.00°
With the nearest neighbours (Å) after each atom.
Fractional positions:
Er: 0.5000 0.5000 0.0000  8 Er 3.54, 4 Nd 3.58
Nd: 0.0000 0.0000 0.0000  12 Er 3.54-3.58
Er: 0.5000 0.5000 0.3999  8 Er 3.56-3.57, 4 La 3.58
Er: 0.5000 0.5000 0.8008  8 Er 3.57, 4 La 3.58
Er: 0.5000 0.0000 0.2996  4 La 3.55-3.57, 8 Er 3.57-3.58
Er: 0.0000 0.5000 0.7004  4 La 3.55-3.57, 8 Er 3.57-3.58
La: 0.0000 0.0000 0.2000  12 Er 3.55-3.58
Er: 0.5000 0.0000 0.7004  4 La 3.55-3.57, 8 Er 3.57-3.58
Er: 0.5000 0.5000 0.1992  8 Er 3.57, 4 La 3.58
Er: 0.0000 0.5000 0.9013  8 Er 3.54-3.58, 2 Nd 3.54, 2 La 3.58
Er: 0.0000 0.5000 0.2996  4 La 3.55-3.57, 8 Er 3.57-3.58
Er: 0.0000 0.5000 0.0987  8 Er 3.54-3.58, 2 Nd 3.54, 2 La 3.58
Er: 0.5000 0.0000 0.0987  8 Er 3.54-3.58, 2 Nd 3.54, 2 La 3.58
La: 0.0000 0.0000 0.8000  12 Er 3.55-3.58
Er: 0.0000 0.5000 0.5000  8 Er 3.56-3.58, 4 La 3.57
La: 0.0000 0.0000 0.3998  12 Er 3.57-3.58
La: 0.0000 0.0000 0.6002  12 Er 3.57-3.58
Er: 0.5000 0.5000 0.6001  8 Er 3.56-3.57, 4 La 3.58
Er: 0.5000 0.0000 0.5000  8 Er 3.56-3.58, 4 La 3.57
Er: 0.5000 0.0000 0.9013  8 Er 3.54-3.58, 2 Nd 3.54, 2 La 3.58

Computed properties:
electronic total energy	-92.23	eV per cell

[4]
Entry from Alexandria via LeMat-Bulk: crystalline LaZn2Se at its relaxed geometry (PBE).

Cell: 8.1901 8.1901 6.4900 Å, 50.88 50.88 90.00°
With the nearest neighbours (Å) after each atom.
Fractional positions:
Zn: 0.8750 0.8381 0.7500  2 Se 2.79, 2 Zn 2.99
Zn: 0.5881 0.1250 0.2500  2 Se 2.79, 2 Zn 2.99
Se: 0.2500 0.7500 0.5000  4 Zn 2.79, 2 La 2.93
La: 0.7500 0.2500 0.5000  2 Se 2.93, 4 Zn 3.20
Zn: 0.3750 0.4119 0.7500  2 Se 2.79, 2 Zn 2.99
La: 0.0000 0.0000 0.0000  2 Se 2.93, 4 Zn 3.20
Zn: 0.1619 0.6250 0.2500  2 Se 2.79, 2 Zn 2.99
Se: 0.5000 0.5000 0.0000  4 Zn 2.79, 2 La 2.93

Computed properties:
electronic total energy	-26.14	eV per cell
formation energy from raw total energies	-0.528	eV per atom

[5]
Entry from Alexandria via LeMat-Bulk: crystalline CaCu2Rh at its relaxed geometry (PBE).

Cell: 4.8963 4.8963 4.8963 Å, 131.45 131.45 71.10°
With the nearest neighbours (Å) after each atom.
Fractional positions:
Cu: 0.0000 0.0000 0.0000  4 Cu 2.83, 4 Ca 2.83, 4 Rh 2.85
Cu: 0.2500 0.7500 0.5000  4 Rh 2.83, 4 Cu 2.83, 4 Ca 2.85
Rh: 0.5000 0.5000 0.0000  4 Ca 2.83, 8 Cu 2.83-2.85
Ca: 0.7500 0.2500 0.5000  4 Rh 2.83, 8 Cu 2.83-2.85

Computed properties:
offset from the most stable computed form	0.137	eV/atom
electronic total energy	-17.59	eV per cell

[6]
Entry from Alexandria via LeMat-Bulk: crystalline Sm2TmBi2 at its relaxed geometry (PBE).

Cell: 6.4320 8.6151 8.0929 Å, 122.16 113.41 90.00°
With the nearest neighbours (Å) after each atom.
Fractional positions:
Sm: 0.8480 0.7007 0.6960  5 Bi 3.13-3.32
Sm: 0.6520 0.0047 0.3040  5 Bi 3.13-3.32
Tm: 0.2500 0.5000 0.0000  4 Bi 3.19, 2 Tm 3.22
Bi: 0.8919 0.1101 0.7839  5 Sm 3.13-3.32, 2 Tm 3.19
Sm: 0.3480 0.9953 0.6960  5 Bi 3.13-3.32
Tm: 0.7500 0.5000 0.0000  4 Bi 3.19, 2 Tm 3.22
Bi: 0.3919 0.6738 0.7839  5 Sm 3.13-3.32, 2 Tm 3.19
Sm: 0.1520 0.2993 0.3040  5 Bi 3.13-3.32
Bi: 0.1081 0.8899 0.2161  5 Sm 3.13-3.32, 2 Tm 3.19
Bi: 0.6081 0.3262 0.2161  5 Sm 3.13-3.32, 2 Tm 3.19

Computed properties:
electronic total energy	-49.16	eV per cell

[7]
Entry from Alexandria via LeMat-Bulk: crystalline Zn3Cu3Au5 at its relaxed geometry (PBE).

Cell: 2.7315 8.8397 8.8397 Å, 120.00 90.00 90.00°
With the nearest neighbours (Å) after each atom.
Fractional positions:
Cu: 0.5000 0.0000 0.8379  4 Cu 2.48-2.73, 2 Zn 2.52, 2 Au 2.57
Au: 0.5000 0.6667 0.3333  5 Au 2.73-2.94, 6 Zn 3.02
Cu: 0.5000 0.8379 0.0000  4 Cu 2.48-2.73, 2 Zn 2.52, 2 Au 2.57
Cu: 0.5000 0.1621 0.1621  4 Cu 2.48-2.73, 2 Zn 2.52, 2 Au 2.57
Au: 0.5000 0.0000 0.3359  2 Cu 2.57, 2 Zn 2.69, 2 Au 2.73
Au: 0.5000 0.6641 0.6641  2 Cu 2.57, 2 Zn 2.69, 2 Au 2.73
Zn: 0.0000 0.5982 0.0000  2 Cu 2.52, 2 Au 2.69, 2 Zn 2.73
Au: 0.5000 0.3333 0.6667  5 Au 2.73-2.94, 6 Zn 3.02
Zn: 0.0000 0.4018 0.4018  2 Cu 2.52, 2 Au 2.69, 2 Zn 2.73
Zn: 0.0000 0.0000 0.5982  2 Cu 2.52, 2 Au 2.69, 2 Zn 2.73
Au: 0.5000 0.3359 0.0000  2 Cu 2.57, 2 Zn 2.69, 2 Au 2.73

Computed properties:
electronic total energy	-31.92	eV per cell

[8]
Entry from Alexandria via LeMat-Bulk: crystalline ReAs2W at its relaxed geometry (PBE).

Cell: 3.0917 5.0908 4.1095 Å, 90.00 90.00 90.00°
With the nearest neighbours (Å) after each atom.
Fractional positions:
As: 0.0000 0.0000 0.0000  4 Re 2.57
As: 0.5000 0.5000 0.0000  4 W 2.57
W: 0.0000 0.5000 0.5000  4 As 2.57
Re: 0.5000 0.0000 0.5000  4 As 2.57

Computed properties:
offset from the most stable computed form	0.550	eV/atom
electronic total energy	-32.02	eV per cell